(1)
Material: RbBaTaS4
Method: DFT, PBE
State: optimized geometry

Output
Its total energy is -166.51 eV for the cell shown. The calculation puts the spin magnetization at 0.00 μB/f.u. The space group is Pnma (62). As for the crystal system: orthorhombic.

a b c (Å): 9.4494 7.1067 12.6236
angles (deg): 90.00 90.00 90.00
With the nearest neighbours (Å) after each atom.
Fractional coordinates of all 28 atoms:
Rb1 0.1367 0.2500 0.0887  7 S 3.33-3.69
Rb2 0.3633 0.7500 0.5887  7 S 3.33-3.69
Rb3 0.6367 0.2500 0.4113  7 S 3.33-3.69
Rb4 0.8633 0.7500 0.9113  7 S 3.33-3.69
Ba1 0.0190 0.7500 0.3251  7 S 3.24-3.37
Ba2 0.4810 0.2500 0.8251  7 S 3.24-3.37
Ba3 0.5190 0.7500 0.1749  7 S 3.24-3.37
Ba4 0.9810 0.2500 0.6749  7 S 3.24-3.37
Ta1 0.2298 0.2500 0.4206  4 S 2.27-2.28
Ta2 0.2702 0.7500 0.9206  4 S 2.27-2.28
Ta3 0.7298 0.2500 0.0794  4 S 2.27-2.28
Ta4 0.7702 0.7500 0.5794  4 S 2.27-2.28
S1 0.0113 0.7500 0.5841  1 Ta 2.28
S2 0.1861 0.0094 0.8367  1 Ta 2.27
S3 0.1861 0.4906 0.8367  1 Ta 2.27
S4 0.1940 0.7500 0.0923  1 Ta 2.28
S5 0.3060 0.2500 0.5923  1 Ta 2.28
S6 0.3139 0.5094 0.3367  1 Ta 2.27
S7 0.3139 0.9906 0.3367  1 Ta 2.27
S8 0.4887 0.2500 0.0841  1 Ta 2.28
S9 0.5113 0.7500 0.9159  1 Ta 2.28
S10 0.6861 0.0094 0.6633  1 Ta 2.27
S11 0.6861 0.4906 0.6633  1 Ta 2.27
S12 0.6940 0.7500 0.4077  1 Ta 2.28
S13 0.8060 0.2500 0.9077  1 Ta 2.28
S14 0.8139 0.5094 0.1633  1 Ta 2.27
S15 0.8139 0.9906 0.1633  1 Ta 2.27
S16 0.9887 0.2500 0.4159  1 Ta 2.28

(2)
Material: RbBaTbS3
Method: DFT, PBE
State: optimized geometry

Output
The calculation puts the spin magnetization at 0.01 μB/f.u. The space group is Cmcm (63). As for the crystal system: orthorhombic. The energy above the lowest structure with this stoichiometry is 0.2092 eV/atom.

a b c (Å): 10.1027 10.1027 11.9339
angles (deg): 90.00 90.00 155.95
With the nearest neighbours (Å) after each atom.
Fractional coordinates of all 12 atoms:
Rb1 0.1265 0.8735 0.7500  4 S 3.09-3.30
Rb2 0.8735 0.1265 0.2500  4 S 3.09-3.30
Ba1 0.1081 0.8919 0.2500  4 S 2.97
Ba2 0.8919 0.1081 0.7500  4 S 2.97
Tb1 0.5000 0.5000 0.0000  6 S 2.78-2.98
Tb2 0.5000 0.5000 0.5000  6 S 2.78-2.98
S1 0.0922 0.9078 0.0029  2 Tb 2.78, 1 Ba 2.97, 1 Rb 3.09
S2 0.0922 0.9078 0.4971  2 Tb 2.78, 1 Ba 2.97, 1 Rb 3.09
S3 0.4981 0.5019 0.7500  2 Ba 2.97, 2 Tb 2.98, 2 Rb 3.30
S4 0.5019 0.4981 0.2500  2 Ba 2.97, 2 Tb 2.98, 2 Rb 3.30
S5 0.9078 0.0922 0.5029  2 Tb 2.78, 1 Ba 2.97, 1 Rb 3.09
S6 0.9078 0.0922 0.9971  2 Tb 2.78, 1 Ba 2.97, 1 Rb 3.09

(3)
Material: RbBaTbS3
Method: DFT, PBE
State: optimized geometry

Output
The calculation puts the spin magnetization at 0.00 μB/f.u. The space group is Pnma (62). As for the crystal system: orthorhombic. The energy above the lowest structure with this stoichiometry is 0.0000 eV/atom.

a b c (Å): 12.8770 4.1785 13.5941
angles (deg): 90.00 90.00 90.00
With the nearest neighbours (Å) after each atom.
Fractional coordinates of all 24 atoms:
Rb1 0.1199 0.2500 0.0737  6 S 3.26-3.45
Rb2 0.3801 0.7500 0.5737  6 S 3.26-3.45
Rb3 0.6199 0.2500 0.4263  6 S 3.26-3.45
Rb4 0.8801 0.7500 0.9263  6 S 3.26-3.45
Ba1 0.1311 0.2500 0.4179  6 S 3.06-3.25
Ba2 0.3689 0.7500 0.9179  6 S 3.06-3.25
Ba3 0.6311 0.2500 0.0821  6 S 3.06-3.25
Ba4 0.8689 0.7500 0.5821  6 S 3.06-3.25
Tb1 0.1039 0.2500 0.7433  5 S 2.62-2.85
Tb2 0.3961 0.7500 0.2433  5 S 2.62-2.85
Tb3 0.6039 0.2500 0.7567  5 S 2.62-2.85
Tb4 0.8961 0.7500 0.2567  5 S 2.62-2.85
S1 0.0993 0.7500 0.2564  1 Tb 2.62
S2 0.1198 0.7500 0.6011  2 Tb 2.85
S3 0.1325 0.7500 0.8722  2 Tb 2.75
S4 0.3675 0.2500 0.3722  2 Tb 2.75
S5 0.3802 0.2500 0.1011  2 Tb 2.85
S6 0.4007 0.2500 0.7564  1 Tb 2.62
S7 0.5993 0.7500 0.2436  1 Tb 2.62
S8 0.6198 0.7500 0.8989  2 Tb 2.85
S9 0.6325 0.7500 0.6278  2 Tb 2.75
S10 0.8675 0.2500 0.1278  2 Tb 2.75
S11 0.8802 0.2500 0.3989  2 Tb 2.85
S12 0.9007 0.2500 0.7436  1 Tb 2.62

(4)
Material: RbBaTmS3
Method: DFT, PBE
State: optimized geometry

Output
The calculation puts the spin magnetization at 0.01 μB/f.u. The space group is Cmcm (63). As for the crystal system: orthorhombic. The energy above the lowest structure with this stoichiometry is 0.2075 eV/atom.

a b c (Å): 10.1493 10.1493 11.8504
angles (deg): 90.00 90.00 156.49
With the nearest neighbours (Å) after each atom.
Fractional coordinates of all 12 atoms:
Rb1 0.1263 0.8737 0.7500  4 S 3.07-3.28
Rb2 0.8737 0.1263 0.2500  4 S 3.07-3.28
Ba1 0.1082 0.8918 0.2500  4 S 2.96
Ba2 0.8918 0.1082 0.7500  4 S 2.96
Tm1 0.5000 0.5000 0.0000  6 S 2.73-2.96
Tm2 0.5000 0.5000 0.5000  6 S 2.73-2.96
S1 0.0900 0.9100 0.0022  2 Tm 2.73, 1 Ba 2.96
S2 0.0900 0.9100 0.4978  2 Tm 2.73, 1 Ba 2.96
S3 0.4983 0.5017 0.7500  2 Ba 2.96, 2 Tm 2.96, 2 Rb 3.28
S4 0.5017 0.4983 0.2500  2 Ba 2.96, 2 Tm 2.96, 2 Rb 3.28
S5 0.9100 0.0900 0.5022  2 Tm 2.73, 1 Ba 2.96
S6 0.9100 0.0900 0.9978  2 Tm 2.73, 1 Ba 2.96

(5)
Material: RbBaTmS3
Method: DFT, PBE
State: optimized geometry

Output
The calculation puts the spin magnetization at 0.00 μB/f.u. The space group is Pnma (62). As for the crystal system: orthorhombic. The energy above the lowest structure with this stoichiometry is 0.0000 eV/atom.

a b c (Å): 12.9645 4.1165 13.4912
angles (deg): 90.00 90.00 90.00
With the nearest neighbours (Å) after each atom.
Fractional coordinates of all 24 atoms:
Rb1 0.1155 0.2500 0.0722  6 S 3.22-3.47
Rb2 0.3845 0.7500 0.5722  6 S 3.22-3.47
Rb3 0.6155 0.2500 0.4278  6 S 3.22-3.47
Rb4 0.8845 0.7500 0.9278  6 S 3.22-3.47
Ba1 0.1285 0.2500 0.4175  6 S 3.04-3.27
Ba2 0.3715 0.7500 0.9175  6 S 3.04-3.27
Ba3 0.6285 0.2500 0.0825  6 S 3.04-3.27
Ba4 0.8715 0.7500 0.5825  6 S 3.04-3.27
Tm1 0.1516 0.2500 0.7453  5 S 2.56-2.82
Tm2 0.3484 0.7500 0.2453  5 S 2.56-2.82
Tm3 0.6516 0.2500 0.7547  5 S 2.56-2.82
Tm4 0.8484 0.7500 0.2547  5 S 2.56-2.82
S1 0.1192 0.7500 0.6055  2 Tm 2.82
S2 0.1306 0.7500 0.8728  2 Tm 2.70
S3 0.1513 0.7500 0.2526  1 Tm 2.56
S4 0.3487 0.2500 0.7526  1 Tm 2.56
S5 0.3694 0.2500 0.3728  2 Tm 2.70
S6 0.3808 0.2500 0.1055  2 Tm 2.82
S7 0.6192 0.7500 0.8945  2 Tm 2.82
S8 0.6306 0.7500 0.6272  2 Tm 2.70
S9 0.6513 0.7500 0.2474  1 Tm 2.56
S10 0.8487 0.2500 0.7474  1 Tm 2.56
S11 0.8694 0.2500 0.1272  2 Tm 2.70
S12 0.8808 0.2500 0.3945  2 Tm 2.82

(6)
Material: RbBaSm
Method: DFT, PBE
State: optimized geometry

Output
The calculation puts the spin magnetization at 2.67 μB/f.u. The space group is F-43m (216). As for the crystal system: cubic. The energy above the lowest structure with this stoichiometry is 0.0000 eV/atom.

a b c (Å): 6.6216 6.6216 6.6216
angles (deg): 60.00 60.00 60.00
With the nearest neighbours (Å) after each atom.
Fractional coordinates of all 3 atoms:
Rb1 0.0000 0.0000 0.0000  4 Sm 4.05
Ba1 0.5000 0.5000 0.5000  4 Sm 4.05
Sm1 0.7500 0.7500 0.7500  4 Ba 4.05, 4 Rb 4.05

(7)
Material: RbBaSmTe3
Method: DFT, PBE
State: optimized geometry

Output
The calculation puts the spin magnetization at 0.01 μB/f.u. The space group is Cmcm (63). As for the crystal system: orthorhombic. The energy above the lowest structure with this stoichiometry is 0.1933 eV/atom.

a b c (Å): 11.6207 11.6207 13.3667
angles (deg): 90.00 90.00 156.55
With the nearest neighbours (Å) after each atom.
Fractional coordinates of all 12 atoms:
Rb1 0.1268 0.8732 0.7500  4 Te 3.46-3.60
Rb2 0.8732 0.1268 0.2500  4 Te 3.46-3.60
Ba1 0.0947 0.9053 0.2500  4 Te 3.30-3.31
Ba2 0.9053 0.0947 0.7500  4 Te 3.30-3.31
Sm1 0.5000 0.5000 0.0000  6 Te 3.19-3.35
Sm2 0.5000 0.5000 0.5000  6 Te 3.19-3.35
Te1 0.0945 0.9055 0.0031  2 Sm 3.19, 1 Ba 3.30, 1 Rb 3.46
Te2 0.0945 0.9055 0.4969  2 Sm 3.19, 1 Ba 3.30, 1 Rb 3.46
Te3 0.4927 0.5073 0.2500  2 Ba 3.31, 2 Sm 3.35, 2 Rb 3.60
Te4 0.5073 0.4927 0.7500  2 Ba 3.31, 2 Sm 3.35, 2 Rb 3.60
Te5 0.9055 0.0945 0.5031  2 Sm 3.19, 1 Ba 3.30, 1 Rb 3.46
Te6 0.9055 0.0945 0.9969  2 Sm 3.19, 1 Ba 3.30, 1 Rb 3.46

(8)
Material: RbBaSmTe3
Method: DFT, PBE
State: optimized geometry

Output
The calculation puts the spin magnetization at 0.00 μB/f.u. The space group is Pnma (62). As for the crystal system: orthorhombic. The energy above the lowest structure with this stoichiometry is 0.0000 eV/atom.

a b c (Å): 13.9634 4.6979 15.1177
angles (deg): 90.00 90.00 90.00
With the nearest neighbours (Å) after each atom.
Fractional coordinates of all 24 atoms:
Rb1 0.1203 0.2500 0.0722  6 Te 3.57-3.76
Rb2 0.3797 0.7500 0.5722  6 Te 3.57-3.76
Rb3 0.6203 0.2500 0.4278  6 Te 3.57-3.76
Rb4 0.8797 0.7500 0.9278  6 Te 3.57-3.76
Ba1 0.1283 0.2500 0.4176  6 Te 3.42-3.59
Ba2 0.3717 0.7500 0.9176  6 Te 3.42-3.59
Ba3 0.6283 0.2500 0.0824  6 Te 3.42-3.59
Ba4 0.8717 0.7500 0.5824  6 Te 3.42-3.59
Sm1 0.1078 0.2500 0.7432  5 Te 3.07-3.23
Sm2 0.3922 0.7500 0.2432  5 Te 3.07-3.23
Sm3 0.6078 0.2500 0.7568  5 Te 3.07-3.23
Sm4 0.8922 0.7500 0.2568  5 Te 3.07-3.23
Te1 0.1122 0.7500 0.2541  1 Sm 3.07, 2 Ba 3.42
Te2 0.1225 0.7500 0.5970  2 Sm 3.23, 3 Ba 3.51-3.59, 1 Rb 3.61
Te3 0.1300 0.7500 0.8785  2 Sm 3.13, 1 Ba 3.43
Te4 0.3700 0.2500 0.3785  2 Sm 3.13, 1 Ba 3.43
Te5 0.3775 0.2500 0.0970  2 Sm 3.23, 3 Ba 3.51-3.59, 1 Rb 3.61
Te6 0.3878 0.2500 0.7541  1 Sm 3.07, 2 Ba 3.42
Te7 0.6122 0.7500 0.2459  1 Sm 3.07, 2 Ba 3.42
Te8 0.6225 0.7500 0.9030  2 Sm 3.23, 3 Ba 3.51-3.59, 1 Rb 3.61
Te9 0.6300 0.7500 0.6215  2 Sm 3.13, 1 Ba 3.43
Te10 0.8700 0.2500 0.1215  2 Sm 3.13, 1 Ba 3.43
Te11 0.8775 0.2500 0.4030  2 Sm 3.23, 3 Ba 3.51-3.59, 1 Rb 3.61
Te12 0.8878 0.2500 0.7459  1 Sm 3.07, 2 Ba 3.42

(9)
Material: RbBaTa
Method: DFT, PBE
State: optimized geometry

Output
The calculation puts the spin magnetization at 5.91 μB/f.u. The space group is F-43m (216). As for the crystal system: cubic. The energy above the lowest structure with this stoichiometry is 0.0000 eV/atom.

a b c (Å): 6.0664 6.0664 6.0664
angles (deg): 60.00 60.00 60.00
With the nearest neighbours (Å) after each atom.
Fractional coordinates of all 3 atoms:
Rb1 0.0000 0.0000 0.0000  4 Ta 3.71
Ba1 0.5000 0.5000 0.5000  4 Ta 3.71
Ta1 0.7500 0.7500 0.7500  4 Ba 3.71, 4 Rb 3.71

(10)
Material: RbBaTb
Method: DFT, PBE
State: optimized geometry

Output
The calculation puts the spin magnetization at 2.48 μB/f.u. The space group is F-43m (216). As for the crystal system: cubic. The energy above the lowest structure with this stoichiometry is 0.0000 eV/atom.

a b c (Å): 6.5594 6.5594 6.5594
angles (deg): 60.00 60.00 60.00
With the nearest neighbours (Å) after each atom.
Fractional coordinates of all 3 atoms:
Rb1 0.0000 0.0000 0.0000  4 Ba 4.02
Ba1 0.2500 0.2500 0.2500  4 Tb 4.02, 4 Rb 4.02
Tb1 0.5000 0.5000 0.5000  4 Ba 4.02

(11)
Material: RbBaTm
Method: DFT, PBE
State: optimized geometry

Output
The calculation puts the spin magnetization at 1.12 μB/f.u. The space group is F-43m (216). As for the crystal system: cubic. The energy above the lowest structure with this stoichiometry is 0.0000 eV/atom.

a b c (Å): 6.5699 6.5699 6.5699
angles (deg): 60.00 60.00 60.00
With the nearest neighbours (Å) after each atom.
Fractional coordinates of all 3 atoms:
Rb1 0.0000 0.0000 0.0000  4 Tm 4.02
Ba1 0.5000 0.5000 0.5000  4 Tm 4.02
Tm1 0.7500 0.7500 0.7500  4 Ba 4.02, 4 Rb 4.02

(12)
Material: RbBaU
Method: DFT, PBE
State: optimized geometry

Output
The calculation puts the spin magnetization at 6.13 μB/f.u. The space group is F-43m (216). As for the crystal system: cubic. The energy above the lowest structure with this stoichiometry is 0.0000 eV/atom.

a b c (Å): 6.3875 6.3875 6.3875
angles (deg): 60.00 60.00 60.00
With the nearest neighbours (Å) after each atom.
Fractional coordinates of all 3 atoms:
Rb1 0.0000 0.0000 0.0000  4 Ba 3.91
Ba1 0.2500 0.2500 0.2500  4 U 3.91, 4 Rb 3.91
U1 0.5000 0.5000 0.5000  4 Ba 3.91